La4Cu3Ni | PBE-GGA | relaxed

The structure belongs to space group Pmm2 (No. 25); the cell edges are 3.984, 4.540 and 10.883 Å and the angles 90.00°, 90.00° and 90.00°. Symmetry generates all atoms from La at (0.000, 0.000, 0.000), La at (0.000, 0.500, 0.270), La at (0.500, 0.000, 0.481), La at (0.500, 0.500, 0.771), Cu at (0.000, 0.000, 0.692), Cu at (0.000, 0.500, 0.563), Cu at (0.500, 0.500, 0.066) and Ni at (0.500, 0.000, 0.197).

For the density of states at the Fermi level, the calculation gives 8.638 states/eV/cell. The value obtained for the raw total energy is -4.93 eV per atom. The formation energy comes out at -0.210 eV/atom.